BaOsAu | GGA-PBE | relaxed

The structure in extended XYZ format:
```
12
Lattice="7.4085 0.0000 0.0000 0.0000 7.4085 0.0000 0.0000 0.0000 7.4085" Properties=species:S:1:pos:R:3 pbc="T T T"
Ba 0.0000 0.0000 0.0000
Ba 0.0000 3.7042 3.7042
Ba 3.7042 0.0000 3.7042
Ba 3.7042 3.7042 0.0000
Os 1.8521 1.8521 5.5563
Os 1.8521 5.5563 1.8521
Os 5.5563 1.8521 1.8521
Os 5.5563 5.5563 5.5563
Au 1.8521 1.8521 1.8521
Au 1.8521 5.5563 5.5563
Au 5.5563 1.8521 5.5563
Au 5.5563 5.5563 1.8521
```

## Properties
ΔE_f   1.607 eV/atom
DOS at the Fermi energy   20.3 states/eV/cell
Symmetry   F-43m
Total DFT energy (no corrections)   -46.4 eV per cell
Distance to the lowest polymorph of the same formula   1181 meV per atom


TaNbRu2 | GGA-PBE | relaxed

The structure in extended XYZ format:
```
4
Lattice="3.0642 0.0000 0.0000 0.0000 3.0642 0.0000 0.0000 0.0000 6.8783" Properties=species:S:1:pos:R:3 pbc="T T T"
Ta 0.0000 0.0000 0.0000
Nb 0.0000 0.0000 3.4391
Ru 1.5321 1.5321 1.5838
Ru 1.5321 1.5321 5.2945
```

## Properties
ΔE_f   -0.289 eV/atom
DOS at the Fermi energy   3.8 states/eV/cell
Symmetry   P4/mmm
Total DFT energy (no corrections)   -41.6 eV per cell


Pu3MnRh2 | GGA-PBE | relaxed

The structure in extended XYZ format:
```
6
Lattice="3.4850 0.0000 0.0000 0.0000 3.4850 0.0000 0.0000 0.0000 9.7779" Properties=species:S:1:pos:R:3 pbc="T T T"
Pu 0.0000 0.0000 0.0000
Pu 0.0000 0.0000 3.2690
Pu 0.0000 0.0000 6.5089
Mn 1.7425 1.7425 4.8890
Rh 1.7425 1.7425 1.6744
Rh 1.7425 1.7425 8.1035
```

## Properties
ΔE_f   -0.251 eV/atom
DOS at the Fermi energy   19.5 states/eV/cell
Symmetry   P4/mmm
Total DFT energy (no corrections)   -68.4 eV per cell


Er8RuPb2 | GGA-PBE | relaxed

The structure in extended XYZ format:
```
11
Lattice="9.6152 -2.4997 0.0000 9.6152 2.4997 0.0000 -1.8108 0.0000 6.3831" Properties=species:S:1:pos:R:3 pbc="T T T"
Er -0.1473 0.0000 1.8302
Er 2.6782 0.0000 5.2662
Er 5.9857 0.0000 3.1695
Er 7.8593 0.0000 0.2779
Er 9.5604 0.0000 6.1052
Er 11.4340 0.0000 3.2136
Er 14.7415 0.0000 1.1169
Er 17.5670 0.0000 4.5529
Ru 8.7098 0.0000 3.1916
Pb 3.0168 0.0000 1.6711
Pb 14.4029 0.0000 4.7121
```

## Properties
ΔE_f   -0.275 eV/atom
DOS at the Fermi energy   8.9 states/eV/cell
Symmetry   C2/m
Total DFT energy (no corrections)   -56.2 eV per cell


LaTbSm5Tm2 | GGA-PBE | relaxed

The structure in extended XYZ format:
```
18
Lattice="2.8383 -10.0782 0.0000 2.8383 10.0782 0.0000 0.0000 0.0000 10.6116" Properties=species:S:1:pos:R:3 pbc="T T T"
La 2.8383 8.3982 5.3058
La 2.8383 -8.3982 0.0000
Tb 2.8383 4.0131 0.6707
Tb 2.8383 -4.0131 5.9764
Sm 2.8383 9.6482 8.3847
Sm 2.8383 7.7886 0.8056
Sm 2.8383 5.9781 8.0487
Sm 2.8383 5.6557 3.8733
Sm 2.8383 0.3385 0.7979
Sm 2.8383 -0.3385 6.1037
Sm 2.8383 -5.6557 9.1791
Sm 2.8383 -5.9781 2.7430
Sm 2.8383 -7.7886 6.1114
Sm 2.8383 -9.6482 3.0789
Tm 2.8383 2.3215 3.9373
Tm 2.8383 2.2686 8.3327
Tm 2.8383 -2.2686 3.0269
Tm 2.8383 -2.3215 9.2430
```

## Properties
ΔE_f   0.157 eV/atom
DOS at the Fermi energy   28.9 states/eV/cell
Symmetry   Cmc2_1
Total DFT energy (no corrections)   -81.4 eV per cell


SrTbHo | GGA-PBE | relaxed

The structure in extended XYZ format:
```
6
Lattice="3.7205 0.0000 0.0000 0.0000 3.7205 0.0000 0.0000 0.0000 16.0653" Properties=species:S:1:pos:R:3 pbc="T T T"
Sr 0.0000 0.0000 0.0000
Sr 1.8603 1.8603 8.0327
Tb 0.0000 0.0000 5.1226
Tb 1.8603 1.8603 13.1553
Ho 0.0000 0.0000 10.9257
Ho 1.8603 1.8603 2.8931
```

## Properties
ΔE_f   0.135 eV/atom
DOS at the Fermi energy   9.0 states/eV/cell
Symmetry   I4mm
Total DFT energy (no corrections)   -21.0 eV per cell
Distance to the lowest polymorph of the same formula   6 meV per atom